# Y2VWF

Crystalline Y2VWF at its relaxed geometry (PBE+U, the Alexandria database).

Density of states at the Fermi level: 0.923 states/eV/atom
Crystal system: tetragonal
Final energy: -5.77 eV/atom
Total moment: 0.04 μB/atom

Cell lengths 4.9945, 4.9945, 4.0279 Å; angles 90.00, 90.00, 90.00 degrees
Positions (direct):
1 Y 0.0000 0.5000 0.0000
2 Y 0.5000 0.0000 0.0000
3 V 0.0000 0.0000 0.5000
4 W 0.5000 0.5000 0.5000
5 F 0.0000 0.0000 0.0000